Entry 1:
The following is a PBE-GGA calculation of a relaxed Ac3Re5N12 crystal, from OQMD.

Results
total magnetization: 0.1 μB/cell
density: 10335 kg/m3
SG: Ia-3d
DFT total energy: -9.209 eV/atom

Geometry as POSCAR:
```
Ac3Re5N12
1.0
-6.589 6.589 6.589
6.589 -6.589 6.589
6.589 6.589 -6.589
Ac N Re
12 48 20
Direct
0.625 0.250 0.875
0.875 0.750 0.625
0.375 0.750 0.125
0.625 0.875 0.750
0.250 0.375 0.125
0.875 0.625 0.250
0.125 0.375 0.750
0.250 0.875 0.625
0.125 0.250 0.375
0.375 0.125 0.250
0.750 0.125 0.375
0.750 0.625 0.875
0.924 0.315 0.316
0.184 0.185 0.576
0.892 0.391 0.576
0.002 0.316 0.892
0.315 0.316 0.924
0.576 0.892 0.391
0.108 0.998 0.684
0.002 0.185 0.109
0.316 0.924 0.315
0.815 0.424 0.816
0.685 0.502 0.609
0.684 0.108 0.998
0.891 0.392 0.076
0.392 0.076 0.891
0.816 0.815 0.424
0.076 0.685 0.684
0.609 0.685 0.502
0.685 0.684 0.076
0.502 0.609 0.685
0.424 0.816 0.815
0.502 0.392 0.816
0.391 0.576 0.892
0.316 0.892 0.002
0.424 0.108 0.609
0.998 0.684 0.108
0.892 0.002 0.316
0.076 0.891 0.392
0.816 0.502 0.392
0.609 0.424 0.108
0.608 0.924 0.109
0.891 0.998 0.815
0.576 0.184 0.185
0.815 0.891 0.998
0.108 0.609 0.424
0.392 0.816 0.502
0.391 0.315 0.498
0.185 0.109 0.002
0.315 0.498 0.391
0.608 0.184 0.498
0.498 0.391 0.315
0.109 0.002 0.185
0.998 0.815 0.891
0.498 0.608 0.184
0.184 0.498 0.608
0.924 0.109 0.608
0.185 0.576 0.184
0.109 0.608 0.924
0.684 0.076 0.685
0.000 0.000 0.000
0.625 0.375 0.250
0.000 0.500 0.000
0.625 0.750 0.375
0.375 0.625 0.750
0.000 0.500 0.500
0.875 0.125 0.750
0.750 0.875 0.125
0.000 0.000 0.500
0.125 0.750 0.875
0.375 0.250 0.625
0.250 0.625 0.375
0.250 0.125 0.875
0.500 0.500 0.000
0.500 0.000 0.000
0.750 0.375 0.625
0.500 0.000 0.500
0.125 0.875 0.250
0.500 0.500 0.500
0.875 0.250 0.125
```

=====

Entry 2:
The following is a PBE-GGA calculation of a relaxed Ac3ReN5 crystal, from OQMD.

Results
total magnetization: 0.0 μB/cell
density: 10191 kg/m3
SG: I4/mcm
DFT total energy: -8.340 eV/atom

Geometry as POSCAR:
```
Ac3ReN5
1.0
0.597 -7.771 0.683
2.406 -0.454 7.431
-6.313 3.879 -2.513
N Ac Re
10 6 2
Direct
0.702 0.490 0.500
0.500 0.500 0.000
0.010 0.798 0.500
0.298 0.510 0.500
0.490 0.990 0.788
0.990 0.202 0.500
0.202 0.702 0.212
0.000 0.000 0.000
0.510 0.010 0.212
0.798 0.298 0.788
0.250 0.250 0.000
0.175 0.675 0.851
0.750 0.750 0.000
0.675 0.825 0.500
0.325 0.175 0.500
0.825 0.325 0.149
0.750 0.250 0.500
0.250 0.750 0.500
```

=====

Entry 3:
The following is a PBE-GGA calculation of a relaxed AcReN3 crystal, from OQMD.

Results
total magnetization: 0.0 μB/cell
density: 11820 kg/m3
SG: Pm-3m
DFT total energy: -9.009 eV/atom

Geometry as POSCAR:
```
AcReN3
1.0
-1.374 -3.697 0.661
1.032 -1.048 -3.719
3.611 -1.107 1.315
N Ac Re
3 1 1
Direct
0.000 0.000 0.500
0.500 0.000 0.000
0.000 0.500 0.000
0.500 0.500 0.500
0.000 0.000 0.000
```

=====

Entry 4:
The following is a PBE-GGA calculation of a relaxed Ac3Re2N8 crystal, from OQMD.

Results
total magnetization: 0.7 μB/cell
density: 9387 kg/m3
SG: R-3m
DFT total energy: -8.718 eV/atom

Geometry as POSCAR:
```
Ac3Re2N8
1.0
-7.545 0.938 1.904
-4.711 -2.205 5.863
-4.035 3.549 5.706
Ac N Re
3 8 2
Direct
0.797 0.797 0.797
0.000 0.000 0.000
0.203 0.203 0.203
0.321 0.321 0.321
0.265 0.265 0.778
0.735 0.222 0.735
0.778 0.265 0.265
0.222 0.735 0.735
0.735 0.735 0.222
0.679 0.679 0.679
0.265 0.778 0.265
0.407 0.407 0.407
0.593 0.593 0.593
```